PBE Ni2HgPtN, optimized geometry; uncorrected energy = -5.061 eV per atom
1.0
3.8997 0.0000 0.0000
0.0000 3.8997 0.0000
0.0000 0.0000 4.2736
Ni Hg Pt N
2 1 1 1
direct
0.0000 0.5000 0.0000
0.5000 0.0000 0.0000
0.0000 0.0000 0.5000
0.5000 0.5000 0.5000
0.5000 0.5000 0.0000